# PBE CdSnPd4, optimized geometry
# Density ... 10.8 Mg/m³
# Crystal system ... monoclinic
# Energy above the most stable polymorph in this dataset ... 0.00 kcal/mol of atoms
data_CdSnPd4
_chemical_formula_sum 'Cd2 Sn2 Pd8'
_space_group_name_H-M_alt 'P 1'
_space_group_IT_number 1
_cell_length_a 4.907
_cell_length_b 8.665
_cell_length_c 4.901
_cell_angle_alpha 90.00
_cell_angle_beta 103.77
_cell_angle_gamma 90.00
loop_
_space_group_symop_operation_xyz
'x,y,z'
loop_
_atom_site_label
_atom_site_type_symbol
_atom_site_fract_x
_atom_site_fract_y
_atom_site_fract_z
Cd1 Cd 0.500 0.000 0.500
Cd2 Cd 0.000 0.500 0.500
Sn1 Sn 0.000 0.000 0.000
Sn2 Sn 0.500 0.500 0.000
Pd1 Pd 0.000 0.665 0.000
Pd2 Pd 0.500 0.165 0.000
Pd3 Pd 0.500 0.336 0.500
Pd4 Pd 0.000 0.836 0.500
Pd5 Pd 0.000 0.335 0.000
Pd6 Pd 0.500 0.835 0.000
Pd7 Pd 0.500 0.664 0.500
Pd8 Pd 0.000 0.164 0.500



# PBE PmBrF, optimized geometry
# Density ... 5.4 Mg/m³
# Crystal system ... triclinic
# Formation energy without anion corrections ... -57.8 kcal/mol of atoms
# Energy above the most stable polymorph in this dataset ... 0.00 kcal/mol of atoms
data_PmBrF
_chemical_formula_sum 'Pm2 Br2 F2'
_space_group_name_H-M_alt 'P 1'
_space_group_IT_number 1
_cell_length_a 4.285
_cell_length_b 5.971
_cell_length_c 6.791
_cell_angle_alpha 71.61
_cell_angle_beta 71.67
_cell_angle_gamma 69.14
loop_
_space_group_symop_operation_xyz
'x,y,z'
loop_
_atom_site_label
_atom_site_type_symbol
_atom_site_fract_x
_atom_site_fract_y
_atom_site_fract_z
Br1 Br 0.736 0.375 0.764
Br2 Br 0.914 0.718 0.072
F1 F 0.088 0.134 0.306
F2 F 0.563 0.959 0.530
Pm1 Pm 0.127 0.768 0.590
Pm2 Pm 0.523 0.325 0.246



# PBE Y2CO, optimized geometry
# Density ... 6.0 Mg/m³
# Crystal system ... cubic
# Formation energy without anion corrections ... -21.3 kcal/mol of atoms
# Energy above the most stable polymorph in this dataset ... 18.52 kcal/mol of atoms
data_Y2CO
_chemical_formula_sum 'Y2 C1 O1'
_space_group_name_H-M_alt 'P 1'
_space_group_IT_number 1
_cell_length_a 4.328
_cell_length_b 4.328
_cell_length_c 4.328
_cell_angle_alpha 60.00
_cell_angle_beta 60.00
_cell_angle_gamma 60.00
loop_
_space_group_symop_operation_xyz
'x,y,z'
loop_
_atom_site_label
_atom_site_type_symbol
_atom_site_fract_x
_atom_site_fract_y
_atom_site_fract_z
Y1 Y 0.250 0.250 0.250
Y2 Y 0.750 0.750 0.750
C1 C 0.000 0.000 0.000
O1 O 0.500 0.500 0.500



# PBE ScCdNi2Hg, optimized geometry
# Density ... 7.0 Mg/m³
# Crystal system ... tetragonal
# Total energy ... -15.3 eV per cell
data_ScCdNi2Hg
_chemical_formula_sum 'Sc1 Cd1 Ni2 Hg1'
_space_group_name_H-M_alt 'P 1'
_space_group_IT_number 1
_cell_length_a 4.560
_cell_length_b 5.398
_cell_length_c 4.560
_cell_angle_alpha 90.00
_cell_angle_beta 90.00
_cell_angle_gamma 90.00
loop_
_space_group_symop_operation_xyz
'x,y,z'
loop_
_atom_site_label
_atom_site_type_symbol
_atom_site_fract_x
_atom_site_fract_y
_atom_site_fract_z
Sc1 Sc 0.000 0.000 0.000
Ni1 Ni 0.000 0.000 0.500
Ni2 Ni 0.500 0.000 0.000
Hg1 Hg 0.000 0.500 0.000
Cd1 Cd 0.500 0.500 0.500



# PBE PuTiRh2, optimized geometry
# Density ... 11.8 Mg/m³
# Crystal system ... tetragonal
# Energy above the most stable polymorph in this dataset ... 3.28 kcal/mol of atoms
data_PuTiRh2
_chemical_formula_sum 'Pu1 Ti1 Rh2'
_space_group_name_H-M_alt 'P 1'
_space_group_IT_number 1
_cell_length_a 3.440
_cell_length_b 4.518
_cell_length_c 4.518
_cell_angle_alpha 90.00
_cell_angle_beta 90.00
_cell_angle_gamma 90.00
loop_
_space_group_symop_operation_xyz
'x,y,z'
loop_
_atom_site_label
_atom_site_type_symbol
_atom_site_fract_x
_atom_site_fract_y
_atom_site_fract_z
Ti1 Ti 0.500 0.000 0.000
Rh1 Rh 0.000 0.000 0.500
Rh2 Rh 0.000 0.500 0.000
Pu1 Pu 0.500 0.500 0.500



# PBE Pm2ZnSnAu6, optimized geometry
# Density ... 12.4 Mg/m³
# Crystal system ... triclinic
# Total energy ... -39.1 eV per cell
data_Pm2ZnSnAu6
_chemical_formula_sum 'Pm2 Zn1 Sn1 Au6'
_space_group_name_H-M_alt 'P 1'
_space_group_IT_number 1
_cell_length_a 6.975
_cell_length_b 7.004
_cell_length_c 7.099
_cell_angle_alpha 45.71
_cell_angle_beta 86.26
_cell_angle_gamma 105.77
loop_
_space_group_symop_operation_xyz
'x,y,z'
loop_
_atom_site_label
_atom_site_type_symbol
_atom_site_fract_x
_atom_site_fract_y
_atom_site_fract_z
Pm1 Pm 0.754 0.253 0.492
Pm2 Pm 0.246 0.747 0.508
Zn1 Zn 0.000 0.000 0.000
Sn1 Sn 0.500 0.500 0.000
Au1 Au 0.322 0.310 0.520
Au2 Au 0.940 0.775 0.818
Au3 Au 0.284 0.788 0.044
Au4 Au 0.716 0.212 0.956
Au5 Au 0.060 0.225 0.182
Au6 Au 0.678 0.690 0.480



# PBE PmBOs2C, optimized geometry
# Density ... 12.9 Mg/m³
# Crystal system ... orthorhombic
# Total energy ... -88.3 eV per cell
data_PmBOs2C
_chemical_formula_sum 'Pm2 B2 Os4 C2'
_space_group_name_H-M_alt 'P 1'
_space_group_IT_number 1
_cell_length_a 3.773
_cell_length_b 5.689
_cell_length_c 6.994
_cell_angle_alpha 90.00
_cell_angle_beta 90.00
_cell_angle_gamma 109.37
loop_
_space_group_symop_operation_xyz
'x,y,z'
loop_
_atom_site_label
_atom_site_type_symbol
_atom_site_fract_x
_atom_site_fract_y
_atom_site_fract_z
Pm1 Pm 0.453 0.907 0.750
Pm2 Pm 0.547 0.093 0.250
B1 B 0.728 0.456 0.750
B2 B 0.272 0.544 0.250
Os1 Os 0.174 0.349 0.937
Os2 Os 0.826 0.651 0.063
Os3 Os 0.174 0.349 0.563
Os4 Os 0.826 0.651 0.437
C1 C 0.000 0.000 0.000
C2 C 0.000 0.000 0.500



# PBE TmGa2Co2, optimized geometry
# Density ... 8.9 Mg/m³
# Crystal system ... tetragonal
# Energy above the most stable polymorph in this dataset ... 0.00 kcal/mol of atoms
data_TmGa2Co2
_chemical_formula_sum 'Tm2 Ga4 Co4'
_space_group_name_H-M_alt 'P 1'
_space_group_IT_number 1
_cell_length_a 4.017
_cell_length_b 4.017
_cell_length_c 10.271
_cell_angle_alpha 101.28
_cell_angle_beta 101.28
_cell_angle_gamma 90.00
loop_
_space_group_symop_operation_xyz
'x,y,z'
loop_
_atom_site_label
_atom_site_type_symbol
_atom_site_fract_x
_atom_site_fract_y
_atom_site_fract_z
Tm1 Tm 0.634 0.634 0.269
Tm2 Tm 0.366 0.366 0.731
Ga1 Ga 0.000 0.500 0.000
Ga2 Ga 0.186 0.186 0.373
Ga3 Ga 0.500 0.000 0.000
Ga4 Ga 0.814 0.814 0.627
Co1 Co 0.750 0.250 0.500
Co2 Co 0.934 0.934 0.867
Co3 Co 0.066 0.066 0.133
Co4 Co 0.250 0.750 0.500